Entry 1:
A plane-wave DFT calculation with PBE was carried out for crystalline AlZnSiRu2 at its relaxed geometry.

total magnetic moment = 0.000 μB per cell
E = -23.50 eV for the cell shown
formation energy (no corrections) = 1.097 eV per atom

a = 4.5867 Å, b = 4.5867 Å, c = 4.1318 Å
α = 90.00°, β = 90.00°, γ = 90.00°
Atoms (fractional coordinates):
Al  0.0000  0.0000  0.0000
Zn  0.5000  0.5000  0.5000
Si  0.5000  0.5000  0.0000
Ru  0.0000  0.5000  0.5000
Ru  0.5000  0.0000  0.5000

=====

Entry 2:
A plane-wave DFT calculation with PBE was carried out for crystalline AlZnSiRu2 at its relaxed geometry.

total magnetic moment = 0.000 μB per cell
E = -23.90 eV for the cell shown
formation energy (no corrections) = 1.017 eV per atom

a = 4.4685 Å, b = 4.4685 Å, c = 4.3342 Å
α = 90.00°, β = 90.00°, γ = 90.00°
Atoms (fractional coordinates):
Al  0.0000  0.0000  0.0000
Zn  0.0000  0.0000  0.5000
Si  0.5000  0.5000  0.5000
Ru  0.0000  0.5000  0.0000
Ru  0.5000  0.0000  0.0000

=====

Entry 3:
A plane-wave DFT calculation with PBE was carried out for crystalline Zr2AlSi2Ru5 at its relaxed geometry.

total magnetic moment = 0.000 μB per cell
E = -170.87 eV for the cell shown
formation energy (no corrections) = -0.737 eV per atom

a = 9.7531 Å, b = 9.7531 Å, c = 3.2047 Å
α = 90.00°, β = 90.00°, γ = 90.00°
Atoms (fractional coordinates):
Zr  0.1735  0.3265  0.0000
Zr  0.3265  0.8265  0.0000
Zr  0.6735  0.1735  0.0000
Zr  0.8265  0.6735  0.0000
Al  0.0000  0.0000  0.0000
Al  0.5000  0.5000  0.0000
Si  0.1281  0.6281  0.0000
Si  0.3719  0.1281  0.0000
Si  0.6281  0.8719  0.0000
Si  0.8719  0.3719  0.0000
Ru  0.0000  0.5000  0.5000
Ru  0.0655  0.7936  0.5000
Ru  0.2064  0.0655  0.5000
Ru  0.2936  0.5655  0.5000
Ru  0.4345  0.2936  0.5000
Ru  0.5000  0.0000  0.5000
Ru  0.5655  0.7064  0.5000
Ru  0.7064  0.4345  0.5000
Ru  0.7936  0.9345  0.5000
Ru  0.9345  0.2064  0.5000